Material: Ba2ScNi
Method: DFT, meta-GGA SCAN
State: single point on PBEsol structure

Results
SG	I4/mmm (139)
energy relative to the lowest polymorph listed for this composition	0.9	kJ per mole of atoms

Unit cell a=4.685 b=6.115 c=4.685 alpha=67.48 beta=90.00 gamma=112.52
Element x y z (fractional)
Ba1 0.250 0.500 0.250
Ba2 0.750 0.500 0.750
Ni1 0.500 0.000 0.500
Sc1 0.000 0.000 0.000